Run one
Density functional theory data (GGA-PBE) for CdGaPt3 after structural relaxation.

Results
Its space-group type is Pm-3m. As for the crystal system: cubic.

a b c (Å): 4.985 4.985 4.985
angles (deg): 90.00 90.00 90.00
Element x y z (fractional)
Ga (0.500, 0.500, 0.500)
Pt (0.000, 0.500, 0.000)
Pt (0.000, 0.000, 0.500)
Pt (0.500, 0.000, 0.000)
Cd (0.000, 0.000, 0.000)

Run two
Density functional theory data (GGA-PBE) for CdGaPt3 after structural relaxation.

Results
Its space-group type is P1. As for the crystal system: triclinic.

a b c (Å): 5.530 5.530 8.209
angles (deg): 70.25 70.26 60.06
Element x y z (fractional)
Cd (0.431, 0.556, 0.501)
Cd (0.683, 0.811, 0.740)
Ga (0.050, 0.179, 0.635)
Ga (0.889, 0.018, 0.121)
Pt (0.973, 0.097, 0.378)
Pt (0.622, 0.274, 0.876)
Pt (0.145, 0.750, 0.877)
Pt (0.145, 0.274, 0.875)
Pt (0.974, 0.595, 0.378)
Pt (0.471, 0.096, 0.380)

Run three
Density functional theory data (GGA-PBE) for CdGaPt3 after structural relaxation.

Results
Its space-group type is Pm-3m. As for the crystal system: cubic.

a b c (Å): 4.648 4.648 4.648
angles (deg): 90.00 90.00 90.00
Element x y z (fractional)
Ga (0.000, 0.000, 0.000)
Pt (0.000, 0.500, 0.000)
Pt (0.000, 0.000, 0.500)
Pt (0.500, 0.000, 0.000)
Cd (0.500, 0.500, 0.500)

Run four
Density functional theory data (GGA-PBE) for CdGaPt3 after structural relaxation.

Results
Its space-group type is Pmma. As for the crystal system: orthorhombic.

a b c (Å): 3.400 6.557 7.567
angles (deg): 90.00 90.00 90.00
Element x y z (fractional)
Cd (0.590, 0.038, 0.888)
Cd (0.590, 0.186, 0.388)
Ga (0.591, 0.612, 0.138)
Ga (0.591, 0.612, 0.638)
Pt (0.091, 0.912, 0.577)
Pt (0.091, 0.312, 0.698)
Pt (0.091, 0.312, 0.077)
Pt (0.091, 0.679, 0.888)
Pt (0.091, 0.912, 0.198)
Pt (0.091, 0.545, 0.388)

Most stable: run four

Run one
Density functional theory data (GGA-PBE) for SrCdGa2Pt after structural relaxation.

Results
Its space-group type is P4/mmm. As for the crystal system: tetragonal.

a b c (Å): 4.891 4.891 5.263
angles (deg): 90.00 90.00 90.00
Element x y z (fractional)
Sr (0.500, 0.500, 0.500)
Ga (0.000, 0.500, 0.000)
Ga (0.500, 0.000, 0.000)
Pt (0.000, 0.000, 0.000)
Cd (0.000, 0.000, 0.500)

Run two
Density functional theory data (GGA-PBE) for SrCdGa2Pt after structural relaxation.

Results
Its space-group type is P4/mmm. As for the crystal system: tetragonal.

a b c (Å): 4.875 4.875 5.911
angles (deg): 90.00 90.00 90.00
Element x y z (fractional)
Sr (0.000, 0.000, 0.500)
Ga (0.000, 0.500, 0.000)
Ga (0.500, 0.000, 0.000)
Pt (0.000, 0.000, 0.000)
Cd (0.500, 0.500, 0.500)

Most stable: run one

Run one
Density functional theory data (GGA-PBE) for PuCd2Ga after structural relaxation.

Results
Its space-group type is Fm-3m. As for the crystal system: cubic.

a b c (Å): 5.079 5.079 5.079
angles (deg): 60.00 60.00 60.00
Element x y z (fractional)
Cd (0.250, 0.250, 0.250)
Cd (0.750, 0.750, 0.750)
Ga (0.500, 0.500, 0.500)
Pu (0.000, 0.000, 0.000)

Run two
Density functional theory data (GGA-PBE) for PuCd2Ga after structural relaxation.

Results
Its space-group type is P4/mmm. As for the crystal system: tetragonal.

a b c (Å): 3.155 3.155 9.179
angles (deg): 90.00 90.00 90.00
Element x y z (fractional)
Cd (0.000, 0.000, 0.772)
Cd (0.000, 0.000, 0.228)
Ga (0.500, 0.500, 0.000)
Pu (0.500, 0.500, 0.500)

Run three
Density functional theory data (GGA-PBE) for PuCd2Ga after structural relaxation.

Results
Its space-group type is P4/mmm. As for the crystal system: tetragonal.

a b c (Å): 4.942 4.374 4.374
angles (deg): 90.00 90.00 90.00
Element x y z (fractional)
Cd (0.000, 0.000, 0.500)
Cd (0.000, 0.500, 0.000)
Ga (0.500, 0.000, 0.000)
Pu (0.500, 0.500, 0.500)

Most stable: run three

Run one
Density functional theory data (GGA-PBE) for PuCdGaSn after structural relaxation.

Results
Its space-group type is Pmmm. As for the crystal system: orthorhombic.

a b c (Å): 4.648 4.348 4.609
angles (deg): 90.00 90.00 90.00
Element x y z (fractional)
Pu (0.000, 0.500, 0.500)
Cd (0.500, 0.500, 0.000)
Ga (0.000, 0.000, 0.000)
Sn (0.500, 0.000, 0.500)

Run two
Density functional theory data (GGA-PBE) for PuCdGaSn after structural relaxation.

Results
Its space-group type is F-43m. As for the crystal system: cubic.

a b c (Å): 5.119 5.119 5.119
angles (deg): 60.00 60.00 60.00
Element x y z (fractional)
Cd (0.500, 0.500, 0.500)
Sn (0.750, 0.750, 0.750)
Ga (0.250, 0.250, 0.250)
Pu (0.000, 0.000, 0.000)

Most stable: run one

Run one
Density functional theory data (GGA-PBE) for RbCd3Ga after structural relaxation.

Results
Its space-group type is Pm-3m. As for the crystal system: cubic.

a b c (Å): 5.457 5.457 5.457
angles (deg): 90.00 90.00 90.00
Element x y z (fractional)
Ga (0.000, 0.000, 0.000)
Rb (0.500, 0.500, 0.500)
Cd (0.000, 0.500, 0.000)
Cd (0.000, 0.000, 0.500)
Cd (0.500, 0.000, 0.000)

Run two
Density functional theory data (GGA-PBE) for RbCd3Ga after structural relaxation.

Results
Its space-group type is Pm-3m. As for the crystal system: cubic.

a b c (Å): 6.489 6.489 6.489
angles (deg): 90.00 90.00 90.00
Element x y z (fractional)
Ga (0.500, 0.500, 0.500)
Rb (0.000, 0.000, 0.000)
Cd (0.000, 0.500, 0.000)
Cd (0.000, 0.000, 0.500)
Cd (0.500, 0.000, 0.000)

Most stable: run one

Run one
Density functional theory data (GGA-PBE) for RbCdGa after structural relaxation.

Results
Its space-group type is P2_1/m. As for the crystal system: monoclinic.

a b c (Å): 4.969 5.835 7.068
angles (deg): 109.91 90.00 90.00
Element x y z (fractional)
Rb (0.812, 0.819, 0.108)
Rb (0.312, 0.338, 0.065)
Cd (0.812, 0.429, 0.516)
Cd (0.312, 0.728, 0.657)
Ga (0.812, 0.000, 0.662)
Ga (0.312, 0.158, 0.511)

Run two
Density functional theory data (GGA-PBE) for RbCdGa after structural relaxation.

Results
Its space-group type is Immm. As for the crystal system: orthorhombic.

a b c (Å): 5.026 7.231 7.231
angles (deg): 66.25 69.66 69.66
Element x y z (fractional)
Rb (0.733, 0.267, 0.267)
Rb (0.267, 0.733, 0.733)
Cd (0.000, 0.300, 0.700)
Cd (0.000, 0.700, 0.300)
Ga (0.500, 0.845, 0.155)
Ga (0.500, 0.155, 0.845)

Most stable: run two

Run one
Density functional theory data (GGA-PBE) for RbTl2CdGa after structural relaxation.

Results
Its space-group type is P4/mmm. As for the crystal system: tetragonal.

a b c (Å): 5.796 5.796 5.378
angles (deg): 90.00 90.00 90.00
Element x y z (fractional)
Tl (0.000, 0.500, 0.000)
Tl (0.500, 0.000, 0.000)
Ga (0.000, 0.000, 0.000)
Rb (0.500, 0.500, 0.500)
Cd (0.000, 0.000, 0.500)

Run two
Density functional theory data (GGA-PBE) for RbTl2CdGa after structural relaxation.

Results
Its space-group type is P4/mmm. As for the crystal system: tetragonal.

a b c (Å): 6.450 6.276 6.450
angles (deg): 90.00 90.00 90.00
Element x y z (fractional)
Tl (0.000, 0.000, 0.500)
Tl (0.500, 0.000, 0.000)
Ga (0.500, 0.500, 0.500)
Rb (0.000, 0.000, 0.000)
Cd (0.000, 0.500, 0.000)

Most stable: run one

Run one
Density functional theory data (GGA-PBE) for Cd2Ga2Re after structural relaxation.

Results
Its space-group type is P4/mbm. As for the crystal system: tetragonal.

a b c (Å): 6.803 6.803 3.999
angles (deg): 90.00 90.00 90.00
Element x y z (fractional)
Re (0.000, 0.000, 0.000)
Re (0.500, 0.500, 0.000)
Ga (0.351, 0.851, 0.000)
Ga (0.851, 0.649, 0.000)
Ga (0.649, 0.149, 0.000)
Ga (0.149, 0.351, 0.000)
Cd (0.161, 0.661, 0.500)
Cd (0.661, 0.839, 0.500)
Cd (0.839, 0.339, 0.500)
Cd (0.339, 0.161, 0.500)

Run two
Density functional theory data (GGA-PBE) for Cd2Ga2Re after structural relaxation.

Results
Its space-group type is I4/mmm. As for the crystal system: tetragonal.

a b c (Å): 3.622 3.622 7.916
angles (deg): 76.78 76.78 90.00
Element x y z (fractional)
Re (0.000, 0.000, 0.000)
Ga (0.417, 0.417, 0.166)
Ga (0.583, 0.583, 0.834)
Cd (0.750, 0.250, 0.500)
Cd (0.250, 0.750, 0.500)

Most stable: run one